# 1
First-principles (GGA-PBE) data for an optimized crystal structure of BeZnRe2, as listed in Alexandria.

Cell: 4.8078 4.8078 2.5834 Å, 90.00 90.00 113.91°
Last column: nearest neighbours and their distance in Å.
Atoms (fractional coordinates):
1 Be 0.0000 0.0000 0.0000  2 Be 2.58, 2 Zn 2.62, 8 Re 2.73
2 Zn 0.5000 0.5000 0.0000  2 Zn 2.58, 2 Be 2.62, 8 Re 2.73
3 Re 0.0000 0.5000 0.5000  4 Re 2.58-2.62, 4 Be 2.73, 4 Zn 2.73
4 Re 0.5000 0.0000 0.5000  4 Re 2.58-2.62, 4 Be 2.73, 4 Zn 2.73

Calculated volume = 13.6 Å³ per atom
Space group = Cmmm (65)
ΔE_f = 417 meV per atom
Energy = -7.06 eV per atom

# 2
First-principles (GGA-PBE) data for an optimized crystal structure of Cs2TlGeF6, as listed in Alexandria.

Cell: 11.6739 11.6739 11.6739 Å, 34.39 34.39 34.39°
Last column: nearest neighbours and their distance in Å.
Atoms (fractional coordinates):
1 Cs 0.1366 0.1366 0.1366  9 F 3.17-3.47
2 Cs 0.2714 0.2714 0.2714  3 F 3.00
3 Cs 0.7286 0.7286 0.7286  3 F 3.00
4 Cs 0.8634 0.8634 0.8634  9 F 3.17-3.47
5 Tl 0.4017 0.4017 0.4017  6 F 2.64-2.76
6 Tl 0.5983 0.5983 0.5983  6 F 2.64-2.76
7 Ge 0.0000 0.0000 0.0000  6 F 1.84
8 Ge 0.5000 0.5000 0.5000  6 F 2.28
9 F 0.1512 0.6132 0.6132  1 Ge 2.28
10 F 0.1573 0.1573 0.7829  1 Ge 1.84
11 F 0.1573 0.7829 0.1573  1 Ge 1.84
12 F 0.2171 0.8427 0.8427  1 Ge 1.84
13 F 0.3868 0.3868 0.8488  1 Ge 2.28
14 F 0.3868 0.8488 0.3868  1 Ge 2.28
15 F 0.6132 0.1512 0.6132  1 Ge 2.28
16 F 0.6132 0.6132 0.1512  1 Ge 2.28
17 F 0.7829 0.1573 0.1573  1 Ge 1.84
18 F 0.8427 0.2171 0.8427  1 Ge 1.84
19 F 0.8427 0.8427 0.2171  1 Ge 1.84
20 F 0.8488 0.3868 0.3868  1 Ge 2.28

Calculated volume = 22.6 Å³ per atom
Space group = R-3m (166)
Energy = -4.42 eV per atom
Formation energy without anion corrections = -2427 meV per atom

# 3
First-principles (GGA-PBE) data for an optimized crystal structure of AcY2Ge2Pd7, as listed in Alexandria.

Cell: 4.1598 4.1598 14.0147 Å, 96.84 96.84 89.21°
Last column: nearest neighbours and their distance in Å.
Atoms (fractional coordinates):
1 Ac 0.0000 0.0000 0.0000  12 Pd 2.92-3.10
2 Y 0.1320 0.1320 0.3529  5 Pd 2.90-3.22, 4 Ge 3.15-3.24
3 Y 0.8680 0.8680 0.6471  5 Pd 2.90-3.22, 4 Ge 3.15-3.24
4 Ge 0.3943 0.3943 0.7340  5 Pd 2.45-2.49
5 Ge 0.6057 0.6057 0.2660  5 Pd 2.45-2.49
6 Pd 0.0666 0.5665 0.1667  2 Ge 2.49
7 Pd 0.3319 0.3319 0.5564  1 Ge 2.45, 1 Pd 2.74
8 Pd 0.4335 0.9334 0.8333  2 Ge 2.49
9 Pd 0.5000 0.5000 0.0000  4 Ac 2.92-2.96, 8 Pd 3.10
10 Pd 0.5665 0.0666 0.1667  2 Ge 2.49
11 Pd 0.6681 0.6681 0.4436  1 Ge 2.45, 1 Pd 2.74
12 Pd 0.9334 0.4335 0.8333  2 Ge 2.49

Calculated volume = 19.9 Å³ per atom
Space group = C2/m (12)
ΔE_f = -738 meV per atom
Energy = -5.96 eV per atom

# 4
First-principles (GGA-PBE) data for an optimized crystal structure of BaTaPb2O6, as listed in Alexandria.

Cell: 5.8355 6.4944 10.4451 Å, 90.00 123.16 90.00°
Last column: nearest neighbours and their distance in Å.
Atoms (fractional coordinates):
1 Ba 0.0000 0.0000 0.0000  6 O 2.60-2.84
2 Ba 0.0000 0.5000 0.5000  6 O 2.60-2.84
3 Ta 0.5000 0.0000 0.5000  6 O 2.00-2.05
4 Ta 0.5000 0.5000 0.0000  6 O 2.00-2.05
5 Pb 0.2218 0.0247 0.7246  4 O 2.34-2.59
6 Pb 0.2218 0.4753 0.2246  4 O 2.34-2.59
7 Pb 0.7782 0.5247 0.7754  4 O 2.34-2.59
8 Pb 0.7782 0.9753 0.2754  4 O 2.34-2.59
9 O 0.1697 0.1452 0.4684  1 Ta 2.00
10 O 0.1697 0.3548 0.9684  1 Ta 2.00
11 O 0.2566 0.7460 0.8929  1 Ta 2.02
12 O 0.2566 0.7540 0.3929  1 Ta 2.02
13 O 0.4284 0.1078 0.2967  1 Ta 2.05
14 O 0.4284 0.3922 0.7967  1 Ta 2.05
15 O 0.5716 0.6078 0.2033  1 Ta 2.05
16 O 0.5716 0.8922 0.7033  1 Ta 2.05
17 O 0.7434 0.2460 0.6071  1 Ta 2.02
18 O 0.7434 0.2540 0.1071  1 Ta 2.02
19 O 0.8303 0.6452 0.0316  1 Ta 2.00
20 O 0.8303 0.8548 0.5316  1 Ta 2.00

Calculated volume = 16.6 Å³ per atom
Space group = P2_1/c (14)
Energy = -7.08 eV per atom
Formation energy without anion corrections = -1988 meV per atom

# 5
First-principles (GGA-PBE) data for an optimized crystal structure of Rb2CdPI, as listed in Alexandria.

Cell: 6.7855 6.7855 4.7278 Å, 90.00 90.00 90.00°
Last column: nearest neighbours and their distance in Å.
Atoms (fractional coordinates):
1 Rb 0.0000 0.5000 0.0000  2 P 3.39
2 Rb 0.5000 0.0000 0.0000  2 P 3.39
3 Cd 0.0000 0.0000 0.5000  2 P 2.36
4 P 0.0000 0.0000 0.0000  2 Cd 2.36
5 I 0.5000 0.5000 0.5000  8 Rb 4.14

Calculated volume = 43.5 Å³ per atom
Space group = P4/mmm (123)
Energy = -2.55 eV per atom
Formation energy without anion corrections = -585 meV per atom

# 6
First-principles (GGA-PBE) data for an optimized crystal structure of SrTl2W, as listed in Alexandria.

Cell: 3.2076 3.2076 10.1128 Å, 90.00 90.00 101.54°
Last column: nearest neighbours and their distance in Å.
Atoms (fractional coordinates):
1 Sr 0.0000 0.0000 0.0000  4 W 3.18-3.49, 4 Sr 3.21, 2 Tl 3.56
2 Tl 0.0000 0.0000 0.4566  4 W 2.97-3.29, 6 Tl 3.21-3.28
3 Tl 0.5000 0.5000 0.7110  8 Tl 3.21-3.58, 2 Sr 3.56
4 W 0.5000 0.5000 0.2427  4 Tl 2.97-3.29, 2 Sr 3.18, 4 W 3.21

Calculated volume = 25.5 Å³ per atom
Space group = Cmm2 (35)
ΔE_f = 785 meV per atom
Energy = -4.06 eV per atom
Offset from the most stable computed form = 0.177 eV/atom

# 7
First-principles (GGA-PBE) data for an optimized crystal structure of TbZn5Pd2, as listed in Alexandria.

Cell: 6.5277 6.5277 6.5277 Å, 147.12 108.37 81.08°
Last column: nearest neighbours and their distance in Å.
Atoms (fractional coordinates):
1 Tb 0.0000 0.0000 0.0000  4 Pd 3.01, 8 Zn 3.29
2 Zn 0.1683 0.3609 0.8074  3 Pd 2.55-2.65, 3 Zn 2.74-2.76
3 Zn 0.4465 0.6391 0.8074  3 Pd 2.55-2.65, 3 Zn 2.74-2.76
4 Zn 0.5000 0.0000 0.5000  2 Pd 2.59, 8 Zn 2.74
5 Zn 0.5535 0.3609 0.1926  3 Pd 2.55-2.65, 3 Zn 2.74-2.76
6 Zn 0.8317 0.6391 0.1926  3 Pd 2.55-2.65, 3 Zn 2.74-2.76
7 Pd 0.2394 0.7394 0.5000  7 Zn 2.55-2.65
8 Pd 0.7606 0.2606 0.5000  7 Zn 2.55-2.65

Calculated volume = 17.5 Å³ per atom
Space group = Immm (71)
ΔE_f = -422 meV per atom
Energy = -3.10 eV per atom

# 8
First-principles (GGA-PBE) data for an optimized crystal structure of Tl2TcAs, as listed in Alexandria.

Cell: 3.1478 3.1478 9.0904 Å, 90.00 90.00 105.28°
Last column: nearest neighbours and their distance in Å.
Atoms (fractional coordinates):
1 Tl 0.0000 0.0000 0.2313  2 Tc 2.84, 2 As 3.10, 4 Tl 3.15
2 Tl 0.0000 0.0000 0.7687  2 Tc 2.84, 2 As 3.10, 4 Tl 3.15
3 Tc 0.5000 0.5000 0.0000  4 Tl 2.84, 4 Tc 3.15
4 As 0.5000 0.5000 0.5000  4 Tl 3.10, 4 As 3.15

Calculated volume = 21.7 Å³ per atom
Space group = Cmmm (65)
ΔE_f = 727 meV per atom
Energy = -4.21 eV per atom
Offset from the most stable computed form = 0.614 eV/atom

# 9
First-principles (GGA-PBE) data for an optimized crystal structure of NbSnOsSe2, as listed in Alexandria.

Cell: 4.8769 4.8769 5.7003 Å, 90.00 90.00 90.00°
Last column: nearest neighbours and their distance in Å.
Atoms (fractional coordinates):
1 Nb 0.0000 0.0000 0.0000  4 Se 2.44
2 Sn 0.0000 0.0000 0.5000  2 Nb 2.85
3 Os 0.5000 0.5000 0.5000  4 Sn 3.45, 8 Se 3.75
4 Se 0.0000 0.5000 0.0000  2 Nb 2.44
5 Se 0.5000 0.0000 0.0000  2 Nb 2.44

Calculated volume = 27.1 Å³ per atom
Space group = P4/mmm (123)
Energy = -5.33 eV per atom
Formation energy without anion corrections = 1126 meV per atom

# 10
First-principles (GGA-PBE) data for an optimized crystal structure of AlOs, as listed in Alexandria.

Cell: 2.9013 7.0033 7.0033 Å, 143.23 90.00 90.00°
Last column: nearest neighbours and their distance in Å.
Atoms (fractional coordinates):
1 Al 0.0000 0.0000 0.0000  6 Os 2.56-2.72, 4 Al 2.82
2 Al 0.5000 0.0113 0.6637  7 Os 2.63-2.70, 4 Al 2.82-2.90
3 Al 0.5000 0.6637 0.0113  7 Os 2.63-2.70, 4 Al 2.82-2.90
4 Os 0.0000 0.1708 0.4927  7 Al 2.59-2.67, 4 Os 2.72-2.90
5 Os 0.0000 0.4927 0.1708  7 Al 2.59-2.67, 4 Os 2.72-2.90
6 Os 0.5000 0.5217 0.5217  6 Al 2.56-2.72, 4 Os 2.72

Calculated volume = 14.2 Å³ per atom
Space group = Amm2 (38)
ΔE_f = -285 meV per atom
Energy = -7.77 eV per atom

# 11
First-principles (GGA-PBE) data for an optimized crystal structure of PrTmPb, as listed in Alexandria.

Cell: 4.6487 4.6487 8.7620 Å, 90.00 90.00 90.00°
Last column: nearest neighbours and their distance in Å.
Atoms (fractional coordinates):
1 Pr 0.2500 0.2500 0.1557  5 Pb 3.35-3.37
2 Pr 0.7500 0.7500 0.8443  5 Pb 3.35-3.37
3 Tm 0.2500 0.7500 0.5000  4 Tm 3.29, 4 Pb 3.33
4 Tm 0.7500 0.2500 0.5000  4 Tm 3.29, 4 Pb 3.33
5 Pb 0.2500 0.2500 0.7714  4 Tm 3.33, 5 Pr 3.35-3.37
6 Pb 0.7500 0.7500 0.2286  4 Tm 3.33, 5 Pr 3.35-3.37

Calculated volume = 31.6 Å³ per atom
Space group = P4/nmm (129)
ΔE_f = -437 meV per atom
Energy = -4.76 eV per atom

Which of these has the lowest calculated volume?
BeZnRe2